Compound: Mo2HOs
Source: the Alexandria database
Functional: PBE
Structure: optimized geometry

It has space group R3m (No. 160, hexagonal axes), with a = 2.8269 Å, b = 2.8269 Å, c = 20.7589 Å, α = 90.00°, β = 90.00° and γ = 120.00°. The asymmetric unit holds Mo at (0.0000, 0.0000, 0.0000), Mo at (0.0000, 0.0000, 0.2115), H at (0.0000, 0.0000, 0.6030) and Os at (0.0000, 0.0000, 0.7730).

Its electronic total energy is -9.02 eV/atom. As for the energy above the most stable polymorph in this dataset: 0.000 eV per atom.


Compound: Mo4H4Os3
Source: the Alexandria database
Functional: PBE
Structure: optimized geometry

It has space group I-43m (No. 217), with a = 6.246 Å, b = 6.246 Å, c = 6.246 Å, α = 90.00°, β = 90.00° and γ = 90.00°. The asymmetric unit holds Mo at (0.168, 0.168, 0.832), H at (0.142, 0.142, 0.142) and Os at (0.000, 0.000, 0.500).

Its electronic total energy is -7.92 eV/atom.